No. 1
Material: La2AlCoSb
Method: DFT, PBE
State: optimized geometry

Geometry as POSCAR:
```
La2AlCoSb
1.0
-5.140 -0.947 -0.729
1.008 -5.163 -0.405
-0.566 -0.471 4.600
La Sb Al Co
2 1 1 1
Cartesian
-2.570 -0.473 -0.364
0.504 -2.582 -0.202
-2.348 -3.291 1.733
-0.283 -0.236 2.300
0.000 0.000 0.000
```

Summary:
The calculation puts the raw formation energy at -0.6487 eV/atom. The space group is P4/mmm. The calculation puts the total energy at -28.07 eV/cell. The density comes out at 6.22 Mg/m³.

***

No. 2
Material: SrAgSb2Se4
Method: DFT, PBE
State: optimized geometry

Geometry as POSCAR:
```
SrAgSb2Se4
1.0
4.503 0.000 0.000
-2.252 6.738 0.000
0.000 0.000 14.335
Sb Se Sr Ag
4 8 2 2
Cartesian
2.252 1.671 0.744
2.252 1.671 6.424
0.000 5.066 7.911
0.000 5.066 13.591
2.252 3.086 8.779
0.000 3.652 1.612
2.252 0.423 3.584
0.000 0.000 0.000
0.000 3.652 5.556
0.000 6.315 10.751
2.252 3.086 12.723
0.000 0.000 7.167
0.000 1.783 10.751
2.252 4.955 3.584
2.252 4.991 10.751
0.000 1.747 3.584
```

Summary:
The calculation puts the raw formation energy at -0.5605 eV/atom. The space group is Cmcm. The calculation puts the total energy at -62.40 eV/cell. The density comes out at 5.76 Mg/m³.

***

No. 3
Material: CeNp5S6
Method: DFT, PBE
State: optimized geometry

Geometry as POSCAR:
```
CeNp5S6
1.0
6.664 -0.105 -1.256
-3.601 5.608 -1.256
0.135 0.243 6.796
S Np Ce
6 5 1
Cartesian
-0.928 2.443 1.100
0.889 1.597 4.434
2.309 4.149 -0.150
0.632 5.246 3.184
4.125 3.302 3.184
2.565 0.499 1.100
5.046 0.955 2.142
3.250 1.795 -1.256
1.599 2.873 2.142
-1.848 4.791 2.142
-0.188 3.708 -1.256
0.000 0.000 0.000
```

Summary:
The calculation puts the raw formation energy at -1.4830 eV/atom. The space group is C2/m. The calculation puts the total energy at -113.20 eV/cell. The density comes out at 9.86 Mg/m³.

***

No. 4
Material: TaAl2Os
Method: DFT, PBE
State: optimized geometry

Geometry as POSCAR:
```
TaAl2Os
1.0
-1.601 1.986 -2.964
-0.901 -3.368 -1.771
-3.564 -0.044 1.896
Al Os Ta
2 1 1
Cartesian
-1.251 -0.691 -2.367
0.000 0.000 0.000
-2.582 0.971 -0.534
-2.232 -1.706 0.062
```

Summary:
As for the energy relative to the lowest polymorph listed for this composition: 133 meV/atom. Its formation energy is -0.25 eV/atom. The space group is P4/mmm. The calculation puts the total energy at -31.58 eV/cell. The density comes out at 11.44 Mg/m³.

***

No. 5
Material: CrTe2W2
Method: DFT, PBE
State: optimized geometry

Geometry as POSCAR:
```
CrTe2W2
1.0
-0.125 -4.735 2.073
-0.411 -2.058 -4.725
4.011 -3.628 -1.598
W Te Cr
2 2 1
Cartesian
2.596 -6.963 -2.851
0.879 -3.459 -1.399
1.809 -5.880 -0.425
1.666 -4.541 -3.825
0.000 0.000 0.000
```

Summary:
As for the energy relative to the lowest polymorph listed for this composition: 0 meV/atom. The calculation puts the raw formation energy at 0.9367 eV/atom. The space group is I4/mmm. The calculation puts the total energy at -37.13 eV/cell. The density comes out at 9.76 Mg/m³.

***

No. 6
Material: AlCr2Ag
Method: DFT, PBE
State: optimized geometry

Geometry as POSCAR:
```
AlCr2Ag
1.0
4.512 -0.003 0.002
3.751 2.508 0.002
0.436 0.132 4.946
Cr Al Ag
2 1 1
Cartesian
6.579 1.994 3.903
8.634 2.617 4.834
2.178 0.660 1.233
4.358 1.321 2.403
```

Summary:
Its formation energy is 0.32 eV/atom. The space group is Cm. The calculation puts the total energy at -24.54 eV/cell. The density comes out at 7.08 Mg/m³.

***

What did the fifth record say?
Material: CrTe2W2
Method: DFT, PBE
State: optimized geometry

Geometry as POSCAR:
```
CrTe2W2
1.0
-0.125 -4.735 2.073
-0.411 -2.058 -4.725
4.011 -3.628 -1.598
W Te Cr
2 2 1
Cartesian
2.596 -6.963 -2.851
0.879 -3.459 -1.399
1.809 -5.880 -0.425
1.666 -4.541 -3.825
0.000 0.000 0.000
```

Summary:
As for the energy relative to the lowest polymorph listed for this composition: 0 meV/atom. The calculation puts the raw formation energy at 0.9367 eV/atom. The space group is I4/mmm. The calculation puts the total energy at -37.13 eV/cell. The density comes out at 9.76 Mg/m³.